[1]
# Rb4Sm3PaTe8

A relaxed Rb4Sm3PaTe8 crystal (PBE, Alexandria via LeMat-Bulk).

Values from the calculation:
density of states at the Fermi level	10.7	states/eV/f.u.
symmetry	R-3m, No. 166
crystal system	trigonal
formation energy from raw total energies	-20.27	eV/f.u.

```
Rb4Sm3PaTe8
1.0
4.5706 2.6389 8.6105
-4.5706 2.6389 8.6105
0.0000 -5.2777 8.6105
Rb Sm Pa Te
4 3 1 8
direct
0.0000 0.0000 0.0000 Rb
0.0000 0.5000 0.5000 Rb
0.5000 0.0000 0.5000 Rb
0.5000 0.5000 0.0000 Rb
0.0000 0.0000 0.5000 Sm
0.0000 0.5000 0.0000 Sm
0.5000 0.0000 0.0000 Sm
0.5000 0.5000 0.5000 Pa
0.2348 0.2348 0.2348 Te
0.2379 0.7330 0.7330 Te
0.2670 0.2670 0.7621 Te
0.2670 0.7621 0.2670 Te
0.7330 0.2379 0.7330 Te
0.7330 0.7330 0.2379 Te
0.7621 0.2670 0.2670 Te
0.7652 0.7652 0.7652 Te
```

[2]
# RbPaSn2

A relaxed RbPaSn2 crystal (PBE, Alexandria via LeMat-Bulk).

Values from the calculation:
density of states at the Fermi level	4.4	states/eV/f.u.
symmetry	P4/mmm, No. 123
crystal system	tetragonal
energy of formation	-118.0	meV/atom
energy above the lowest structure with this stoichiometry	0.00	eV per formula unit

```
RbPaSn2
1.0
3.4519 0.0000 0.0000
0.0000 3.4519 0.0000
0.0000 0.0000 10.1711
Rb Pa Sn
1 1 2
direct
0.0000 0.0000 0.0000 Rb
0.0000 0.0000 0.5000 Pa
0.5000 0.5000 0.2834 Sn
0.5000 0.5000 0.7166 Sn
```

[3]
# RbPaSn2

A relaxed RbPaSn2 crystal (PBE, Alexandria via LeMat-Bulk).

Values from the calculation:
density of states at the Fermi level	4.7	states/eV/f.u.
symmetry	R-3m, No. 166
crystal system	trigonal
energy of formation	146.8	meV/atom
energy above the lowest structure with this stoichiometry	1.06	eV per formula unit

```
RbPaSn2
1.0
1.7028 0.9831 12.4187
-1.7028 0.9831 12.4187
0.0000 -1.9663 12.4187
Rb Pa Sn
1 1 2
direct
0.0000 0.0000 0.0000 Rb
0.5000 0.5000 0.5000 Pa
0.0940 0.0940 0.0940 Sn
0.9060 0.9060 0.9060 Sn
```

[4]
# Rb3PaSn2Te6

A relaxed Rb3PaSn2Te6 crystal (PBE, Alexandria via LeMat-Bulk).

Values from the calculation:
symmetry	C2/m, No. 12
crystal system	monoclinic
formation energy from raw total energies	-9.79	eV/f.u.

```
Rb3PaSn2Te6
1.0
4.0464 -7.0021 0.0000
4.0464 7.0021 0.0000
-2.6917 0.0000 8.3651
Rb Pa Sn Te
3 1 2 6
direct
0.0000 0.0000 0.0000 Rb
0.3268 0.6732 0.0000 Rb
0.6732 0.3268 0.0000 Rb
0.5000 0.5000 0.5000 Pa
0.1655 0.8345 0.5000 Sn
0.8345 0.1655 0.5000 Sn
0.1190 0.4349 0.3039 Te
0.2511 0.2511 0.6980 Te
0.4349 0.1190 0.3039 Te
0.5651 0.8810 0.6961 Te
0.7489 0.7489 0.3020 Te
0.8810 0.5651 0.6961 Te
```

[5]
# Rb2PaSnTe4

A relaxed Rb2PaSnTe4 crystal (PBE, Alexandria via LeMat-Bulk).

Values from the calculation:
density of states at the Fermi level	6.2	states/eV/f.u.
symmetry	P2/m, No. 10
crystal system	monoclinic
formation energy from raw total energies	-6.73	eV/f.u.

```
Rb2PaSnTe4
1.0
8.1502 0.0000 0.0000
0.0000 4.6187 0.0000
-2.5769 0.0000 8.4269
Rb Pa Sn Te
2 1 1 4
direct
0.0000 0.0000 0.0000 Rb
0.5000 0.5000 0.0000 Rb
0.0000 0.5000 0.5000 Pa
0.5000 0.0000 0.5000 Sn
0.2244 0.0000 0.6977 Te
0.2528 0.5000 0.3012 Te
0.7472 0.5000 0.6988 Te
0.7756 0.0000 0.3023 Te
```

[6]
# Rb2PaSnTe5

A relaxed Rb2PaSnTe5 crystal (PBE, Alexandria via LeMat-Bulk).

Values from the calculation:
density of states at the Fermi level	4.4	states/eV/f.u.
symmetry	Cmc2_1, No. 36
crystal system	orthorhombic
formation energy from raw total energies	-6.58	eV/f.u.

```
Rb2PaSnTe5
1.0
2.3580 -10.5897 0.0000
2.3580 10.5897 0.0000
0.0000 0.0000 15.1804
Rb Pa Sn Te
4 2 2 10
direct
0.1168 0.8832 0.5000 Rb
0.1279 0.8721 0.1401 Rb
0.8721 0.1279 0.6401 Rb
0.8832 0.1168 0.0000 Rb
0.2035 0.7965 0.8456 Pa
0.7965 0.2035 0.3456 Pa
0.4501 0.5499 0.2490 Sn
0.5499 0.4501 0.7490 Sn
0.0578 0.9422 0.8715 Te
0.2966 0.7034 0.4708 Te
0.3127 0.6873 0.2113 Te
0.3372 0.6628 0.8213 Te
0.4969 0.5031 0.5806 Te
0.5031 0.4969 0.0806 Te
0.6628 0.3372 0.3213 Te
0.6873 0.3127 0.7113 Te
0.7034 0.2966 0.9708 Te
0.9422 0.0578 0.3715 Te
```

[7]
# Rb2SrPaTe4

A relaxed Rb2SrPaTe4 crystal (PBE, Alexandria via LeMat-Bulk).

Values from the calculation:
density of states at the Fermi level	5.3	states/eV/f.u.
symmetry	P2/m, No. 10
crystal system	monoclinic
formation energy from raw total energies	-9.60	eV/f.u.

```
Rb2SrPaTe4
1.0
8.2085 0.0000 0.0000
0.0000 4.7029 0.0000
-2.6799 0.0000 8.5258
Rb Sr Pa Te
2 1 1 4
direct
0.0000 0.0000 0.0000 Rb
0.5000 0.5000 0.0000 Rb
0.0000 0.5000 0.5000 Sr
0.5000 0.0000 0.5000 Pa
0.2586 0.0000 0.7059 Te
0.2844 0.5000 0.2989 Te
0.7156 0.5000 0.7011 Te
0.7414 0.0000 0.2941 Te
```

[8]
# RbTb2Pa

A relaxed RbTb2Pa crystal (PBE, Alexandria via LeMat-Bulk).

Values from the calculation:
density of states at the Fermi level	7.9	states/eV/f.u.
symmetry	R-3m, No. 166
crystal system	trigonal
energy of formation	1114.7	meV/atom

```
RbTb2Pa
1.0
2.1671 1.2512 11.0212
-2.1671 1.2512 11.0212
0.0000 -2.5024 11.0212
Rb Tb Pa
1 2 1
direct
0.0000 0.0000 0.0000 Rb
0.1183 0.1183 0.1183 Tb
0.8817 0.8817 0.8817 Tb
0.5000 0.5000 0.5000 Pa
```

[9]
# Rb3Tb3PaTe8

A relaxed Rb3Tb3PaTe8 crystal (PBE, Alexandria via LeMat-Bulk).

Values from the calculation:
density of states at the Fermi level	3.2	states/eV/f.u.
symmetry	R-3m, No. 166
crystal system	trigonal
formation energy from raw total energies	-19.20	eV/f.u.

```
Rb3Tb3PaTe8
1.0
4.4927 2.5939 8.7177
-4.4927 2.5939 8.7177
0.0000 -5.1878 8.7177
Rb Tb Pa Te
3 3 1 8
direct
0.0000 0.5000 0.5000 Rb
0.5000 0.0000 0.5000 Rb
0.5000 0.5000 0.0000 Rb
0.0000 0.0000 0.5000 Tb
0.0000 0.5000 0.0000 Tb
0.5000 0.0000 0.0000 Tb
0.5000 0.5000 0.5000 Pa
0.2324 0.7328 0.7328 Te
0.2331 0.2331 0.2331 Te
0.2672 0.2672 0.7676 Te
0.2672 0.7676 0.2672 Te
0.7328 0.2324 0.7328 Te
0.7328 0.7328 0.2324 Te
0.7669 0.7669 0.7669 Te
0.7676 0.2672 0.2672 Te
```

[10]
# Rb4Tb3PaTe8

A relaxed Rb4Tb3PaTe8 crystal (PBE, Alexandria via LeMat-Bulk).

Values from the calculation:
density of states at the Fermi level	11.0	states/eV/f.u.
symmetry	R-3m, No. 166
crystal system	trigonal
formation energy from raw total energies	-20.09	eV/f.u.

```
Rb4Tb3PaTe8
1.0
4.5257 2.6129 8.6073
-4.5257 2.6129 8.6073
0.0000 -5.2258 8.6073
Rb Tb Pa Te
4 3 1 8
direct
0.0000 0.0000 0.0000 Rb
0.0000 0.5000 0.5000 Rb
0.5000 0.0000 0.5000 Rb
0.5000 0.5000 0.0000 Rb
0.0000 0.0000 0.5000 Tb
0.0000 0.5000 0.0000 Tb
0.5000 0.0000 0.0000 Tb
0.5000 0.5000 0.5000 Pa
0.2335 0.2335 0.2335 Te
0.2331 0.7345 0.7345 Te
0.2655 0.2655 0.7669 Te
0.2655 0.7669 0.2655 Te
0.7345 0.2331 0.7345 Te
0.7345 0.7345 0.2331 Te
0.7669 0.2655 0.2655 Te
0.7665 0.7665 0.7665 Te
```

[11]
# Rb2Tb2PaTe6

A relaxed Rb2Tb2PaTe6 crystal (PBE, Alexandria via LeMat-Bulk).

Values from the calculation:
density of states at the Fermi level	2.5	states/eV/f.u.
symmetry	C2/m, No. 12
crystal system	monoclinic
formation energy from raw total energies	-13.68	eV/f.u.

```
Rb2Tb2PaTe6
1.0
3.8673 -6.6898 0.0000
3.8673 6.6898 0.0000
-2.6079 0.0000 8.8003
Rb Tb Pa Te
2 2 1 6
direct
0.1672 0.8328 0.0000 Rb
0.8328 0.1672 0.0000 Rb
0.3326 0.6674 0.5000 Tb
0.6674 0.3326 0.5000 Tb
0.0000 0.0000 0.5000 Pa
0.0687 0.3982 0.6987 Te
0.2660 0.2660 0.3026 Te
0.3982 0.0687 0.6987 Te
0.6018 0.9313 0.3013 Te
0.7340 0.7340 0.6974 Te
0.9313 0.6018 0.3013 Te
```

[12]
# Rb3Tb2PaTe6

A relaxed Rb3Tb2PaTe6 crystal (PBE, Alexandria via LeMat-Bulk).

Values from the calculation:
density of states at the Fermi level	10.2	states/eV/f.u.
symmetry	C2/m, No. 12
crystal system	monoclinic
formation energy from raw total energies	-14.52	eV/f.u.

```
Rb3Tb2PaTe6
1.0
3.9134 -6.7783 0.0000
3.9134 6.7783 0.0000
-2.6076 0.0000 8.6221
Rb Tb Pa Te
3 2 1 6
direct
0.0000 0.0000 0.0000 Rb
0.3330 0.6670 0.0000 Rb
0.6670 0.3330 0.0000 Rb
0.1666 0.8334 0.5000 Tb
0.8334 0.1666 0.5000 Tb
0.5000 0.5000 0.5000 Pa
0.0988 0.4326 0.2978 Te
0.2337 0.2337 0.7023 Te
0.4326 0.0988 0.2978 Te
0.5674 0.9012 0.7022 Te
0.7663 0.7663 0.2977 Te
0.9012 0.5674 0.7022 Te
```

[13]
# Rb3PaTe6

A relaxed Rb3PaTe6 crystal (PBE, Alexandria via LeMat-Bulk).

Values from the calculation:
density of states at the Fermi level	11.2	states/eV/f.u.
symmetry	Fm-3m, No. 225
crystal system	cubic
formation energy from raw total energies	-5.38	eV/f.u.
energy above the lowest structure with this stoichiometry	0.56	eV per formula unit

```
Rb3PaTe6
1.0
0.0000 6.3960 6.3960
6.3960 0.0000 6.3960
6.3960 6.3960 0.0000
Rb Pa Te
3 1 6
direct
0.0000 0.0000 0.0000 Rb
0.2500 0.2500 0.2500 Rb
0.7500 0.7500 0.7500 Rb
0.5000 0.5000 0.5000 Pa
0.2708 0.2708 0.7292 Te
0.2708 0.7292 0.2708 Te
0.2708 0.7292 0.7292 Te
0.7292 0.2708 0.2708 Te
0.7292 0.2708 0.7292 Te
0.7292 0.7292 0.2708 Te
```

[14]
# Rb2PaTe4

A relaxed Rb2PaTe4 crystal (PBE, Alexandria via LeMat-Bulk).

Values from the calculation:
density of states at the Fermi level	4.0	states/eV/f.u.
symmetry	P2/m, No. 10
crystal system	monoclinic
formation energy from raw total energies	-5.70	eV/f.u.
energy above the lowest structure with this stoichiometry	0.00	eV per formula unit

```
Rb2PaTe4
1.0
8.6305 0.0000 0.0000
0.0000 4.6492 0.0000
-3.5212 0.0000 8.1743
Rb Pa Te
2 1 4
direct
0.2110 0.0000 0.3166 Rb
0.7890 0.0000 0.6834 Rb
0.5000 0.5000 0.0000 Pa
0.2519 0.0000 0.9251 Te
0.4224 0.5000 0.6460 Te
0.5776 0.5000 0.3540 Te
0.7481 0.0000 0.0749 Te
```

[15]
# RbPa5Te12

A relaxed RbPa5Te12 crystal (PBE, Alexandria via LeMat-Bulk).

Values from the calculation:
density of states at the Fermi level	12.9	states/eV/f.u.
symmetry	Immm, No. 71
crystal system	orthorhombic
formation energy from raw total energies	-13.04	eV/f.u.

```
RbPa5Te12
1.0
-4.8855 4.9989 5.8509
4.8855 -4.9989 5.8509
4.8855 4.9989 -5.8509
Rb Pa Te
1 5 12
direct
0.0000 0.0000 0.0000 Rb
0.1661 0.5000 0.6661 Pa
0.3423 0.8423 0.5000 Pa
0.5000 0.5000 0.0000 Pa
0.6577 0.1577 0.5000 Pa
0.8339 0.5000 0.3339 Pa
0.0852 0.2746 0.8105 Te
0.1563 0.4532 0.2969 Te
0.1563 0.8594 0.7031 Te
0.3314 0.2077 0.5391 Te
0.3314 0.7923 0.1237 Te
0.4641 0.2746 0.1895 Te
0.5359 0.7254 0.8105 Te
0.6686 0.2077 0.8763 Te
0.6686 0.7923 0.4609 Te
0.8437 0.1406 0.2969 Te
0.8437 0.5468 0.7031 Te
0.9148 0.7254 0.1895 Te
```

[16]
# Rb2PaTe3

A relaxed Rb2PaTe3 crystal (PBE, Alexandria via LeMat-Bulk).

Values from the calculation:
density of states at the Fermi level	6.5	states/eV/f.u.
symmetry	C2/m, No. 12
crystal system	monoclinic
formation energy from raw total energies	-6.07	eV/f.u.
energy above the lowest structure with this stoichiometry	0.00	eV per formula unit

```
Rb2PaTe3
1.0
4.1214 -7.1382 0.0000
4.1214 7.1382 0.0000
-2.8075 0.0000 8.5601
Rb Pa Te
4 2 6
direct
0.0000 0.0000 0.0000 Rb
0.1532 0.8468 0.5000 Rb
0.5000 0.5000 0.5000 Rb
0.8468 0.1532 0.5000 Rb
0.3320 0.6680 0.0000 Pa
0.6680 0.3320 0.0000 Pa
0.0710 0.4491 0.2069 Te
0.3077 0.3077 0.7971 Te
0.4491 0.0710 0.2069 Te
0.5509 0.9290 0.7931 Te
0.6923 0.6923 0.2029 Te
0.9290 0.5509 0.7931 Te
```

[17]
# RbPaTe3

A relaxed RbPaTe3 crystal (PBE, Alexandria via LeMat-Bulk).

Values from the calculation:
symmetry	Pm-3m, No. 221
crystal system	cubic
formation energy from raw total energies	-4.63	eV/f.u.
energy above the lowest structure with this stoichiometry	0.00	eV per formula unit

```
RbPaTe3
1.0
5.9479 0.0000 0.0000
0.0000 5.9479 0.0000
0.0000 0.0000 5.9479
Rb Pa Te
1 1 3
direct
0.0000 0.0000 0.0000 Rb
0.5000 0.5000 0.5000 Pa
0.0000 0.5000 0.5000 Te
0.5000 0.0000 0.5000 Te
0.5000 0.5000 0.0000 Te
```

[18]
# RbPaTe4

A relaxed RbPaTe4 crystal (PBE, Alexandria via LeMat-Bulk).

Values from the calculation:
density of states at the Fermi level	7.7	states/eV/f.u.
symmetry	P4/nbm, No. 125
crystal system	tetragonal
formation energy from raw total energies	-4.46	eV/f.u.
energy above the lowest structure with this stoichiometry	0.00	eV per formula unit

```
RbPaTe4
1.0
6.9137 0.0000 0.0000
0.0000 6.9137 0.0000
0.0000 0.0000 9.1448
Rb Pa Te
2 2 8
direct
0.2500 0.2500 0.0000 Rb
0.7500 0.7500 0.0000 Rb
0.2500 0.2500 0.5000 Pa
0.7500 0.7500 0.5000 Pa
0.0924 0.5924 0.3065 Te
0.0924 0.9076 0.6935 Te
0.4076 0.5924 0.6935 Te
0.4076 0.9076 0.3065 Te
0.5924 0.0924 0.6935 Te
0.5924 0.4076 0.3065 Te
0.9076 0.0924 0.3065 Te
0.9076 0.4076 0.6935 Te
```

[19]
# RbPa6Te12

A relaxed RbPa6Te12 crystal (PBE, Alexandria via LeMat-Bulk).

Values from the calculation:
density of states at the Fermi level	25.8	states/eV/f.u.
symmetry	R-3m, No. 166
crystal system	trigonal
formation energy from raw total energies	-13.53	eV/f.u.

```
RbPa6Te12
1.0
7.3463 4.2414 3.5527
-7.3463 4.2414 3.5527
0.0000 -8.4828 3.5527
Rb Pa Te
1 6 12
direct
0.0000 0.0000 0.0000 Rb
0.2687 0.2687 0.6729 Pa
0.2687 0.6729 0.2687 Pa
0.3271 0.7313 0.7313 Pa
0.6729 0.2687 0.2687 Pa
0.7313 0.3271 0.7313 Pa
0.7313 0.7313 0.3271 Pa
0.1256 0.5000 0.8744 Te
0.1256 0.8744 0.5000 Te
0.1639 0.4222 0.4222 Te
0.4222 0.1639 0.4222 Te
0.4222 0.4222 0.1639 Te
0.5000 0.1256 0.8744 Te
0.5000 0.8744 0.1256 Te
0.5778 0.5778 0.8361 Te
0.5778 0.8361 0.5778 Te
0.8361 0.5778 0.5778 Te
0.8744 0.1256 0.5000 Te
0.8744 0.5000 0.1256 Te
```

[20]
# Rb4PaTe5

A relaxed Rb4PaTe5 crystal (PBE, Alexandria via LeMat-Bulk).

Values from the calculation:
density of states at the Fermi level	5.1	states/eV/f.u.
symmetry	I4, No. 79
crystal system	tetragonal
formation energy from raw total energies	-9.14	eV/f.u.
energy above the lowest structure with this stoichiometry	0.00	eV per formula unit

```
Rb4PaTe5
1.0
-5.6778 5.6778 3.6785
5.6778 -5.6778 3.6785
5.6778 5.6778 -3.6785
Rb Pa Te
4 1 5
direct
0.0842 0.6997 0.7838 Rb
0.3003 0.0842 0.3845 Rb
0.6997 0.9158 0.6155 Rb
0.9158 0.3003 0.2162 Rb
0.4451 0.4451 0.0000 Pa
0.0494 0.0494 0.0000 Te
0.2576 0.4231 0.6743 Te
0.4231 0.7487 0.1655 Te
0.5833 0.2576 0.8345 Te
0.7487 0.5833 0.3257 Te
```

[21]
# Rb2Pa3Te8

A relaxed Rb2Pa3Te8 crystal (PBE, Alexandria via LeMat-Bulk).

Values from the calculation:
density of states at the Fermi level	4.9	states/eV/f.u.
symmetry	Cmmm, No. 65
crystal system	orthorhombic
formation energy from raw total energies	-11.17	eV/f.u.
energy above the lowest structure with this stoichiometry	0.46	eV per formula unit

```
Rb2Pa3Te8
1.0
5.4711 -9.1005 0.0000
5.4711 9.1005 0.0000
0.0000 0.0000 5.1766
Rb Pa Te
2 3 8
direct
0.2442 0.7558 0.0000 Rb
0.7558 0.2442 0.0000 Rb
0.2165 0.2165 0.5000 Pa
0.5000 0.5000 0.0000 Pa
0.7835 0.7835 0.5000 Pa
0.1034 0.8966 0.5000 Te
0.1642 0.3601 0.0000 Te
0.3601 0.1642 0.0000 Te
0.4045 0.5955 0.5000 Te
0.5955 0.4045 0.5000 Te
0.6399 0.8358 0.0000 Te
0.8358 0.6399 0.0000 Te
0.8966 0.1034 0.5000 Te
```

no.,total magnetic moment (μB/atom)
1,0.1164
2,0.0000
3,0.0000
4,0.0000
5,0.1251
6,0.0133
7,0.1250
8,0.2516
9,0.0689
10,0.1169
11,0.0955
12,0.1567
13,0.0001
14,0.0005
15,0.1002
16,0.1668
17,0.0356
18,0.0006
19,0.3723
20,0.0911
21,0.0790